1) Cr2NiCl | Alexandria via LeMat-Bulk | PBE | relaxed; mass density = 6.8 g cm⁻³; space group = P4/mmm (123)
1.0
2.778 0.000 0.000
0.000 2.779 0.000
0.000 0.000 6.269
Ni Cl Cr
1 1 2
direct
0.500 0.500 0.250
0.500 0.500 0.750
0.000 0.000 0.001
0.000 0.000 0.499

=====

2) Cr2NiCl | Alexandria via LeMat-Bulk | PBE | relaxed; mass density = 5.9 g cm⁻³; space group = Imm2 (44)
1.0
5.099 -0.061 -0.061
2.472 4.460 0.061
-3.257 -3.109 2.394
Cr Ni Cl
2 1 1
direct
0.758 0.258 0.500
0.011 0.011 0.000
0.489 0.489 0.000
0.242 0.742 0.500

=====

Ordering by calculated energy gives the sequence 2), 1), with the first entry being the most stable.

=====

1) CrNiP2Cl | Alexandria via LeMat-Bulk | PBE | relaxed; mass density = 3.7 g cm⁻³; space group = P4/mmm (123)
1.0
-1.880 0.021 -3.904
-2.399 -3.425 1.137
-3.504 3.021 1.703
P Ni Cl Cr
2 1 1 1
direct
0.000 0.500 0.000
0.500 0.000 0.000
0.500 0.500 0.500
0.000 0.000 0.500
0.000 0.000 0.000

=====

2) CrNiP2Cl | Alexandria via LeMat-Bulk | PBE | relaxed; mass density = 4.0 g cm⁻³; space group = P4/mmm (123)
1.0
-1.975 -3.707 1.092
3.362 -2.253 -1.568
2.033 0.141 4.159
P Ni Cl Cr
2 1 1 1
direct
0.000 0.500 0.000
0.500 0.000 0.000
0.000 0.000 0.000
0.000 0.000 0.500
0.500 0.500 0.500

=====

Ordering by calculated energy gives the sequence 1), 2), with the first entry being the most stable.